[1]
{"formula": "PrY3In2", "functional": "PBE", "state": "relaxed", "cell": [[8.201, -2.718, 0.000], [8.201, 2.718, 0.000], [-4.457, 0.000, 8.111]], "species": ["Pr", "Pr", "Y", "Y", "Y", "Y", "Y", "Y", "In", "In", "In", "In"], "fractional_positions": [[0.131, 0.131, 0.174], [0.869, 0.869, 0.826], [0.060, 0.060, 0.715], [0.307, 0.307, 0.005], [0.383, 0.383, 0.460], [0.617, 0.617, 0.540], [0.693, 0.693, 0.995], [0.940, 0.940, 0.285], [0.225, 0.225, 0.595], [0.482, 0.482, 0.833], [0.518, 0.518, 0.167], [0.775, 0.775, 0.405]], "delta_e_f_ev_per_atom": -0.27, "density_g_cm3": 5.853, "polymorph_energy_mev_per_atom": 109.0}

[2]
{"formula": "Pr2Y8In", "functional": "PBE", "state": "relaxed", "cell": [[6.174, -5.504, 0.000], [6.174, 5.504, 0.000], [-1.649, 0.000, 5.810]], "species": ["Pr", "Pr", "Y", "Y", "Y", "Y", "Y", "Y", "Y", "Y", "In"], "fractional_positions": [[0.138, 0.138, 0.007], [0.862, 0.862, 0.993], [0.150, 0.666, 0.688], [0.265, 0.265, 0.609], [0.334, 0.850, 0.312], [0.423, 0.423, 0.217], [0.577, 0.577, 0.783], [0.666, 0.150, 0.688], [0.735, 0.735, 0.391], [0.850, 0.334, 0.312], [0.000, 0.000, 0.500]], "delta_e_f_ev_per_atom": 0.31, "density_g_cm3": 4.659, "polymorph_energy_mev_per_atom": 370.4}

[3]
{"formula": "Pr6Y2In", "functional": "PBE", "state": "relaxed", "cell": [[10.545, -4.658, 0.000], [10.545, 4.658, 0.000], [-1.998, 0.000, 6.178]], "species": ["Pr", "Pr", "Pr", "Pr", "Pr", "Pr", "Pr", "Pr", "Pr", "Pr", "Pr", "Pr", "Y", "Y", "Y", "Y", "In", "In"], "fractional_positions": [[0.008, 0.150, 0.214], [0.082, 0.581, 0.082], [0.150, 0.008, 0.714], [0.349, 0.493, 0.558], [0.419, 0.918, 0.418], [0.493, 0.349, 0.058], [0.507, 0.651, 0.942], [0.581, 0.082, 0.582], [0.651, 0.507, 0.442], [0.850, 0.992, 0.286], [0.918, 0.419, 0.918], [0.992, 0.850, 0.786], [0.173, 0.326, 0.584], [0.326, 0.173, 0.084], [0.674, 0.827, 0.916], [0.827, 0.674, 0.416], [0.251, 0.749, 0.250], [0.749, 0.251, 0.750]], "delta_e_f_ev_per_atom": -0.05, "density_g_cm3": 6.228, "polymorph_energy_mev_per_atom": 14.4}

[4]
{"formula": "PrY2In", "functional": "PBE", "state": "relaxed", "cell": [[4.769, 0.000, 0.000], [0.000, 4.896, 0.000], [-2.382, 0.000, 11.039]], "species": ["Pr", "Pr", "Y", "Y", "Y", "Y", "In", "In"], "fractional_positions": [[0.194, 0.250, 0.386], [0.806, 0.750, 0.614], [0.059, 0.750, 0.117], [0.435, 0.750, 0.870], [0.565, 0.250, 0.130], [0.941, 0.250, 0.883], [0.339, 0.250, 0.679], [0.661, 0.750, 0.321]], "delta_e_f_ev_per_atom": -0.21, "density_g_cm3": 5.586, "polymorph_energy_mev_per_atom": 59.8}

- Number 2 is which compound?
  Pr2Y8In